Material: Ce3YCo2
Method: DFT, PBE
State: relaxed

Unit cell a=4.4972 b=9.0435 c=7.7581 alpha=115.70 beta=90.00 gamma=104.40
Sites, in units of the cell vectors:
Ce 0.0289 0.0578 0.2776
Ce 0.9711 0.9422 0.7224
Ce 0.2999 0.5999 0.5859
Ce 0.7001 0.4001 0.4141
Ce 0.4025 0.8050 0.3533
Ce 0.5975 0.1950 0.6467
Y 0.8163 0.6326 0.9441
Y 0.1837 0.3674 0.0559
Co 0.5151 0.0301 0.1676
Co 0.8197 0.6393 0.3050
Co 0.1803 0.3607 0.6950
Co 0.4849 0.9699 0.8324

Computed properties:
Relative energy among the computed polymorphs in eV per formula unit: 0.00
Space group: C2/m, No. 12
DFT total energy in Ry per atom: -0.478
Formation energy from the elements in eV per atom: -0.091